Arrangement i

5
Lattice="-2.804 -0.298 3.168 2.515 -2.794 1.963 1.949 3.177 2.025" Properties=species:S:1:pos:R:3 comment="BaWC3, relaxed, DFT PBE" m_tot_mub_per_cell=0.0 rho_g_cm3=7.77 spacegroup="Pm-3m (221)" vol_a3_per_cell=76 pbc="T T T"
C 1.258 -1.397 0.982
C 0.975 1.588 1.012
C -1.402 -0.149 1.584
Ba 0.830 0.042 3.578
W 0.000 0.000 0.000

Arrangement ii

5
Lattice="-0.632 -2.596 -3.481 4.340 -0.273 -0.585 0.129 -3.527 2.607" Properties=species:S:1:pos:R:3 comment="BaWC3, relaxed, DFT PBE" m_tot_mub_per_cell=0.0 rho_g_cm3=7.02 spacegroup="Pm-3m (221)" vol_a3_per_cell=84 pbc="T T T"
C 2.170 -0.136 -0.292
C -0.316 -1.298 -1.740
C 0.065 -1.764 1.303
Ba 0.000 0.000 0.000
W 1.919 -3.198 -0.729

Tell me which of them is the least stable. Sure, it is arrangement ii.

Arrangement i

5
Lattice="6.657 0.000 0.000 0.000 6.657 0.000 0.000 0.000 6.657" Properties=species:S:1:pos:R:3 comment="BaZn3C, relaxed, DFT PBE" m_tot_mub_per_cell=3.2 rho_g_cm3=1.94 spacegroup="Pm-3m (221)" vol_a3_per_cell=295 pbc="T T T"
C 3.329 3.329 3.329
Zn 0.000 3.329 0.000
Zn 3.329 0.000 0.000
Zn 0.000 0.000 3.329
Ba 0.000 0.000 0.000

Arrangement ii

5
Lattice="4.665 0.000 0.000 0.000 4.665 0.000 0.000 0.000 4.665" Properties=species:S:1:pos:R:3 comment="BaZn3C, relaxed, DFT PBE" m_tot_mub_per_cell=0.0 rho_g_cm3=5.65 spacegroup="Pm-3m (221)" vol_a3_per_cell=102 pbc="T T T"
C 0.000 0.000 0.000
Zn 0.000 0.000 2.333
Zn 2.333 0.000 0.000
Zn 0.000 2.333 0.000
Ba 2.333 2.333 2.333

Tell me which of them is the least stable. Sure, it is arrangement i.